Er5ScSb4 | PBE-GGA | relaxed

CIF file:
```
data_Er5ScSb4
_cell_length_a 18.291
_cell_length_b 4.220
_cell_length_c 8.223
_cell_angle_alpha 90.00
_cell_angle_beta 105.49
_cell_angle_gamma 90.00
_space_group_name_H-M_alt 'C 1 2/m 1'
_space_group_IT_number 12
loop_
_space_group_symop_operation_xyz
'x,y,z'
'-x,-y,-z'
'-x,y,-z'
'x,-y,z'
'x+1/2,y+1/2,z'
'-x+1/2,-y+1/2,-z'
'-x+1/2,y+1/2,-z'
'x+1/2,-y+1/2,z'
loop_
_atom_site_label
_atom_site_type_symbol
_atom_site_fract_x
_atom_site_fract_y
_atom_site_fract_z
Er1 Er 0.000 0.000 0.000
Er2 Er 0.166 0.500 0.315
Er3 Er 0.179 0.500 0.852
Sc1 Sc 0.000 0.000 0.500
Sb1 Sb 0.007 0.500 0.748
Sb2 Sb 0.165 0.000 0.581
```

total DFT energy (no corrections): -5.24 eV/atom
formation energy without anion corrections: -0.671 eV/atom
DOS(E_F): 11.1 states/eV/cell